# 1
The following is a DFT calculation (PBE-GGA) of Ba2Hg6GeBi after structural relaxation.

Calculated values
Mass density ... 8.90 g/cm3
Formation enthalpy at 0 K ... -0.248 eV/atom
Magnetization ... 0.0 μB/f.u.

Cell lengths 5.995, 10.027, 10.919 Å; angles 90.00, 90.00, 90.00 degrees
Atoms (fractional coordinates):
Ba 0.250 0.006 0.239
Ba 0.250 0.494 0.239
Ba 0.750 0.506 0.761
Ba 0.750 0.994 0.761
Hg 0.002 0.750 0.530
Hg 0.003 0.250 0.960
Hg 0.250 0.015 0.593
Hg 0.250 0.485 0.593
Hg 0.497 0.250 0.960
Hg 0.498 0.750 0.530
Hg 0.502 0.250 0.470
Hg 0.503 0.750 0.040
Hg 0.750 0.515 0.407
Hg 0.750 0.985 0.407
Hg 0.997 0.750 0.040
Hg 0.998 0.250 0.470
Ge 0.250 0.250 0.749
Ge 0.750 0.750 0.251
Bi 0.250 0.750 0.806
Bi 0.750 0.250 0.194

# 2
The following is a DFT calculation (PBE-GGA) of Ba8GeBi3I4 after structural relaxation.

Calculated values
Mass density ... 5.05 g/cm3
Magnetization ... 1.1 μB/f.u.
Energy ... -3.572 eV/atom

Cell lengths 10.314, 10.314, 10.314 Å; angles 59.01, 59.01, 59.01 degrees
Atoms (fractional coordinates):
Ba 0.240 0.240 0.240
Ba 0.248 0.735 0.735
Ba 0.265 0.265 0.752
Ba 0.265 0.752 0.265
Ba 0.735 0.248 0.735
Ba 0.735 0.735 0.248
Ba 0.752 0.265 0.265
Ba 0.760 0.760 0.760
Ge 0.500 0.500 0.500
Bi 0.000 0.000 0.500
Bi 0.000 0.500 0.000
Bi 0.500 0.000 0.000
I 0.000 0.000 0.000
I 0.000 0.500 0.500
I 0.500 0.000 0.500
I 0.500 0.500 0.000

# 3
The following is a DFT calculation (PBE-GGA) of BaGeBiIr2 after structural relaxation.

Calculated values
Mass density ... 8.98 g/cm3
Formation enthalpy at 0 K ... 2.009 eV/atom
Magnetization ... 0.0 μB/f.u.

Cell lengths 5.170, 5.170, 5.554 Å; angles 90.00, 90.00, 90.00 degrees
Atoms (fractional coordinates):
Ba 0.000 0.000 0.000
Ge 0.000 0.000 0.500
Bi 0.500 0.500 0.500
Ir 0.000 0.500 0.000
Ir 0.500 0.000 0.000

# 4
The following is a DFT calculation (PBE-GGA) of Ba2GeBiIr after structural relaxation.

Calculated values
Mass density ... 6.57 g/cm3
Formation enthalpy at 0 K ... -0.085 eV/atom
Magnetization ... 0.0 μB/f.u.

Cell lengths 6.073, 6.073, 5.132 Å; angles 90.00, 90.00, 90.00 degrees
Atoms (fractional coordinates):
Ba 0.000 0.500 0.000
Ba 0.500 0.000 0.000
Ge 0.000 0.000 0.500
Bi 0.500 0.500 0.500
Ir 0.500 0.500 0.000